[1]
Here is crystalline Ac2AgSO6 at its relaxed geometry from Alexandria. Energies are from PBE.

## Properties
Final energy ... -6.33 eV/atom
ΔE_f (raw) ... -1.839 eV/atom

Cell lengths 5.776, 5.776, 4.459 Å; angles 90.00, 90.00, 90.00 degrees
Element x y z (fractional)
Ac1 0.000 0.500 0.000
Ac2 0.500 0.000 0.000
Ag1 0.000 0.000 0.522
S1 0.500 0.500 0.604
O1 0.000 0.000 0.040
O2 0.285 0.285 0.661
O3 0.285 0.715 0.661
O4 0.500 0.500 0.252
O5 0.715 0.285 0.661
O6 0.715 0.715 0.661

[2]
Here is crystalline BaMgPa2N5 at its relaxed geometry from Alexandria. Energies are from PBE.

## Properties
Final energy ... -8.25 eV/atom
ΔE_f (raw) ... -1.123 eV/atom

Cell lengths 7.624, 7.624, 7.624 Å; angles 127.79, 127.79, 76.97 degrees
Element x y z (fractional)
Ba1 0.250 0.250 0.000
Ba2 0.750 0.750 0.000
Mg1 0.250 0.750 0.500
Mg2 0.750 0.250 0.500
Pa1 0.173 0.673 0.847
Pa2 0.327 0.173 0.500
Pa3 0.673 0.827 0.500
Pa4 0.827 0.327 0.153
N1 0.000 0.000 0.000
N2 0.030 0.231 0.500
N3 0.231 0.731 0.201
N4 0.269 0.470 0.500
N5 0.470 0.970 0.201
N6 0.500 0.500 0.000
N7 0.530 0.030 0.799
N8 0.731 0.530 0.500
N9 0.769 0.269 0.799
N10 0.970 0.769 0.500

[3]
Here is crystalline TmHfPa2N4 at its relaxed geometry from Alexandria. Energies are from PBE.

## Properties
Final energy ... -10.03 eV/atom
ΔE_f (raw) ... -1.690 eV/atom

Cell lengths 5.812, 3.353, 5.997 Å; angles 90.00, 108.79, 90.00 degrees
Element x y z (fractional)
Tm1 0.000 0.000 0.000
Hf1 0.500 0.500 0.000
Pa1 0.000 0.500 0.500
Pa2 0.500 0.000 0.500
N1 0.257 0.500 0.234
N2 0.268 0.000 0.773
N3 0.732 0.000 0.227
N4 0.743 0.500 0.766

Q: Look up the ΔE_f (raw) of the second one.
A: -1.123 eV/atom

Q: ΔE_f (raw) of number 3 (TmHfPa2N4)?
A: -1.690 eV/atom

Q: ΔE_f (raw) of number 3 (TmHfPa2N4)?
A: -1.690 eV/atom

Q: ΔE_f (raw) of number 1 (Ac2AgSO6)?
A: -1.839 eV/atom